Compound: Y2Au
Source: the Alexandria database
Functional: PBE
Structure: relaxed

```
3
Lattice="-3.593 1.183 0.699 0.703 -3.721 -0.676 0.972 -1.045 6.766" Properties=species:S:1:pos:R:3 pbc="T T T"
Au 0.000 0.000 0.000
Y -0.455 -2.381 1.688
Y -1.463 -1.203 5.101
```

## Properties
Density of states at the Fermi level   1.241 states/eV/atom
Total magnetization   0.00 μB/f.u.
Energy of formation from the pure elements   -0.39 eV per atom

Compound: Ta2InW
Source: the Alexandria database
Functional: PBE
Structure: relaxed

```
4
Lattice="-4.813 0.122 1.131 -0.056 -1.084 4.825 2.668 3.468 -2.304" Properties=species:S:1:pos:R:3 pbc="T T T"
Ta -2.434 -0.481 2.978
Ta 0.000 0.000 0.000
In -2.289 1.554 0.902
W 0.089 0.952 2.749
```

## Properties
Density of states at the Fermi level   0.613 states/eV/atom
Total magnetization   0.00 μB/f.u.
Energy of formation from the pure elements   0.25 eV per atom